CaAcMg6 | PBE-GGA | relaxed

Computed properties:
**Energy of formation**: -0.3 eV per formula unit

```
CaAcMg6
1.0
5.2734 0.0000 0.0000
0.0000 6.9047 0.1242
0.0000 -2.9456 6.2461
Ca Ac Mg
1 1 6
Direct
0.5000 0.3902 0.6098
0.0000 0.1108 0.8892
0.0000 0.0503 0.3676
0.0000 0.6324 0.9497
0.0000 0.5830 0.4170
0.5000 0.4506 0.1320
0.5000 0.8680 0.5494
0.5000 0.9144 0.0856
```



LaScSb2 | PBE-GGA | relaxed

Computed properties:
**Formation energy without anion corrections**: -75.8 kJ per mole of atoms
**Excess energy over the best structure of this formula in the dataset**: 28.96 kJ/mol of atoms

```
LaScSb2
1.0
-6.6121 4.6800 1.2824
-4.1161 -4.2614 -5.6714
-6.4687 -2.0324 0.2915
Sc Sb La
2 4 2
Direct
0.5000 0.5000 0.0000
0.2500 0.7500 0.5000
0.6005 0.1250 0.2500
0.1495 0.6250 0.2500
0.3750 0.3995 0.7500
0.8750 0.8505 0.7500
0.0000 0.0000 0.0000
0.7500 0.2500 0.5000
```



YMnSbI2 | PBE-GGA | relaxed

Computed properties:
**Formation energy without anion corrections**: 6.7 kJ per mole of atoms
**Excess energy over the best structure of this formula in the dataset**: 4.70 kJ/mol of atoms

```
YMnSbI2
1.0
-1.5234 -1.9737 -5.3170
-3.0938 -4.3250 2.4919
-4.9680 3.6032 0.0858
I Sb Mn Y
2 1 1 1
Direct
0.0000 0.5000 0.0000
0.5000 0.0000 0.0000
0.0000 0.0000 0.5000
0.5000 0.5000 0.5000
0.0000 0.0000 0.0000
```



Cd2FeTc | PBE-GGA | relaxed

Computed properties:
**Energy of formation**: 1.8 eV per formula unit
**Excess energy over the best structure of this formula in the dataset**: 25.11 kJ/mol of atoms

```
Cd2FeTc
1.0
6.2309 0.1602 0.5584
-2.6252 4.4551 -0.2474
0.9805 0.7070 2.4636
Cd Fe Tc
2 1 1
Direct
0.0000 0.0000 0.0000
0.5000 0.0000 0.5000
0.0000 0.5000 0.5000
0.5000 0.5000 0.0000
```



Sc4InNi2Os | PBE-GGA | relaxed

Computed properties:
**Energy of formation**: -3.6 eV per formula unit

```
Sc4InNi2Os
1.0
4.6383 0.0000 0.0000
2.3192 4.0169 0.0000
2.3192 1.3390 7.7031
Sc In Ni Os
4 1 2 1
Direct
0.3848 0.3848 0.8457
0.8685 0.8685 0.3946
0.1315 0.1315 0.6054
0.6152 0.6152 0.1543
0.0000 0.0000 0.0000
0.7506 0.7506 0.7482
0.2494 0.2494 0.2518
0.5000 0.5000 0.5000
```



ZrAlSi2 | PBE-GGA | relaxed

Computed properties:
**Formation energy without anion corrections**: 7.9 kJ per mole of atoms

```
ZrAlSi2
1.0
2.3425 -4.0574 0.0000
2.3425 4.0574 0.0000
0.0000 0.0000 7.4149
Zr Al Si
2 2 4
Direct
0.0000 0.0000 0.0000
0.0000 0.0000 0.5000
0.6667 0.3333 0.2500
0.3333 0.6667 0.7500
0.6667 0.3333 0.5885
0.3333 0.6667 0.0885
0.3333 0.6667 0.4115
0.6667 0.3333 0.9115
```



CeDy2ThP4 | PBE-GGA | relaxed

Computed properties:
**Energy of formation**: -12.7 eV per formula unit

```
CeDy2ThP4
1.0
4.0739 0.0000 0.0000
0.0000 7.0203 -0.1265
0.0000 2.4822 6.5996
Ce Dy Th P
1 2 1 4
Direct
0.5000 0.5000 0.0000
0.0000 0.0000 0.0000
0.5000 0.0000 0.5000
0.0000 0.5000 0.5000
0.0000 0.7550 0.7494
0.0000 0.2450 0.2506
0.5000 0.7560 0.2468
0.5000 0.2440 0.7532
```



LiCaTmPb | PBE-GGA | relaxed

Computed properties:
**Energy of formation**: -1.1 eV per formula unit

```
LiCaTmPb
1.0
-3.1748 -4.1508 1.1159
1.1968 -3.2640 4.0581
-2.9887 0.0372 4.4295
Pb Ca Tm Li
1 1 1 1
Direct
0.0000 0.0000 0.0000
0.7500 0.7500 0.7500
0.2500 0.2500 0.2500
0.5000 0.5000 0.5000
```



Pr3Cd2Hg7 | PBE-GGA | relaxed

Computed properties:
**Energy of formation**: -2.8 eV per formula unit

```
Pr3Cd2Hg7
1.0
4.5925 0.0000 0.0000
0.0000 4.9426 0.0000
0.0000 -2.4713 14.9818
Pr Cd Hg
3 2 7
Direct
0.5000 0.5000 0.0000
0.5000 0.6549 0.3099
0.5000 0.3451 0.6901
0.0000 0.8475 0.6950
0.0000 0.1525 0.3050
0.0000 0.4227 0.8454
0.0000 0.7267 0.4533
0.0000 0.0000 0.0000
0.0000 0.5773 0.1546
0.5000 0.0802 0.1603
0.5000 0.9198 0.8397
0.0000 0.2733 0.5467
```



TbPmY14 | PBE-GGA | relaxed

Computed properties:
**Energy of formation**: 0.3 eV per formula unit

```
TbPmY14
1.0
-6.8634 2.0258 0.1173
-2.0090 -6.8413 0.6206
0.4056 0.7923 10.0466
Tb Pm Y
1 1 14
Direct
0.3749 0.6251 0.0000
0.8751 0.1249 0.0000
0.3750 0.6250 0.5000
0.8750 0.1250 0.5000
0.8749 0.6249 0.0000
0.8750 0.6250 0.5000
0.3751 0.1251 0.0000
0.3750 0.1250 0.5000
0.6245 0.8745 0.7499
0.6245 0.8745 0.2501
0.1255 0.3755 0.7499
0.1255 0.3755 0.2501
0.1255 0.8745 0.7499
0.1255 0.8745 0.2501
0.6245 0.3755 0.7499
0.6245 0.3755 0.2501
```



MgCoSi2 | PBE-GGA | relaxed

Computed properties:
**Formation energy without anion corrections**: 6.5 kJ per mole of atoms

```
MgCoSi2
1.0
-1.4284 3.7199 2.2982
-4.0563 -0.9964 1.9271
4.0137 -2.2448 0.1067
Co Mg Si
1 1 2
Direct
0.2500 0.7500 0.5000
0.7500 0.2500 0.5000
0.0000 0.0000 0.0000
0.5000 0.5000 0.0000
```



Ca2Cd12Hg7 | PBE-GGA | relaxed

Computed properties:
**Energy of formation**: -2.4 eV per formula unit

```
Ca2Cd12Hg7
1.0
-0.6225 -2.6425 -2.6913
-2.5455 -8.3832 8.8199
-9.1184 6.9875 -4.7515
Ca Cd Hg
2 12 7
Direct
0.5000 0.0000 0.0000
0.0000 0.6667 0.3333
0.5000 0.8842 0.6064
0.5000 0.7221 0.1158
0.5000 0.3936 0.2779
0.5000 0.2573 0.8264
0.5000 0.5691 0.7427
0.5000 0.1736 0.4309
0.0000 0.0704 0.5817
0.0000 0.5113 0.9296
0.0000 0.4183 0.4887
0.0000 0.7804 0.7284
0.0000 0.9480 0.2196
0.0000 0.2716 0.0520
0.0000 0.3333 0.6667
0.0000 0.0510 0.8152
0.0000 0.7642 0.9490
0.0000 0.1848 0.2358
0.5000 0.6189 0.5208
0.5000 0.9019 0.3811
0.5000 0.4792 0.0981
```



KAuI3 | PBE-GGA | relaxed

Computed properties:
**Formation energy without anion corrections**: -18.5 kJ per mole of atoms

```
KAuI3
1.0
4.6280 -2.6720 0.0000
0.0000 5.3439 0.0000
0.0000 0.0000 18.4743
I K Au
6 2 2
Direct
0.0000 0.0000 0.2500
0.0000 0.0000 0.7500
0.3333 0.6667 0.9503
0.3333 0.6667 0.5497
0.6667 0.3333 0.4503
0.6667 0.3333 0.0497
0.3333 0.6667 0.7500
0.6667 0.3333 0.2500
0.0000 0.0000 0.0000
0.0000 0.0000 0.5000
```



Ru2IBr | PBE-GGA | relaxed

Computed properties:
**Formation energy without anion corrections**: 38.2 kJ per mole of atoms
**Excess energy over the best structure of this formula in the dataset**: 17.12 kJ/mol of atoms

```
Ru2IBr
1.0
-2.4010 -2.9964 0.6930
3.6650 -4.3001 0.2900
2.1678 -0.5278 9.4862
I Ru Br
2 4 2
Direct
0.8629 0.4482 0.0808
0.6010 0.0380 0.9301
0.1375 0.0765 0.7539
0.3747 0.5263 0.8655
0.7564 0.4915 0.6709
0.1008 0.7778 0.6088
0.2390 0.7841 0.3562
0.6028 0.1746 0.5365
```



Pm3Sn2Au2 | PBE-GGA | relaxed

Computed properties:
**Energy of formation**: -5.5 eV per formula unit

```
Pm3Sn2Au2
1.0
4.5246 0.0000 0.0000
-2.2623 5.4830 -1.9725
0.0000 0.2212 7.6103
Pm Sn Au
3 2 2
Direct
0.3324 0.6648 0.3481
0.6676 0.3352 0.6519
0.5000 0.0000 0.0000
0.9435 0.8871 0.6615
0.0565 0.1129 0.3385
0.8262 0.6525 0.0587
0.1738 0.3475 0.9413
```



SrSmGe4 | PBE-GGA | relaxed

Computed properties:
**Energy of formation**: -2.8 eV per formula unit
**Excess energy over the best structure of this formula in the dataset**: 0.00 kJ/mol of atoms

```
SrSmGe4
1.0
4.3821 0.0000 0.0000
0.0000 7.8114 0.0000
0.0000 0.0000 17.8387
Sr Sm Ge
4 4 16
Direct
0.0000 0.6260 0.3347
0.0000 0.3740 0.6653
0.0000 0.1260 0.1653
0.0000 0.8740 0.8347
0.0000 0.6277 0.0883
0.0000 0.3723 0.9117
0.0000 0.1277 0.4117
0.0000 0.8723 0.5883
0.5000 0.7850 0.1950
0.5000 0.2150 0.8050
0.5000 0.2850 0.3050
0.5000 0.7150 0.6950
0.5000 0.8993 0.0601
0.5000 0.1007 0.9399
0.5000 0.3993 0.4399
0.5000 0.6007 0.5601
0.5000 0.8539 0.4627
0.5000 0.1461 0.5373
0.5000 0.3539 0.0373
0.5000 0.6461 0.9627
0.5000 0.9600 0.3143
0.5000 0.0400 0.6857
0.5000 0.4600 0.1857
0.5000 0.5400 0.8143
```



SmEr3Tl2 | PBE-GGA | relaxed

Computed properties:
**Energy of formation**: -1.6 eV per formula unit
**Excess energy over the best structure of this formula in the dataset**: 0.00 kJ/mol of atoms

```
SmEr3Tl2
1.0
-3.4083 -2.1372 3.1264
4.6725 -0.1758 4.9737
-2.8846 9.0316 3.0292
Sm Er Tl
2 6 4
Direct
0.5000 0.5479 0.5429
0.5000 0.0479 0.4571
0.0000 0.4556 0.9558
0.0000 0.9556 0.0442
0.5000 0.6693 0.1833
0.5000 0.1693 0.8167
0.0000 0.3294 0.3081
0.0000 0.8294 0.6919
0.5000 0.7100 0.8675
0.5000 0.2100 0.1325
0.0000 0.2878 0.6362
0.0000 0.7878 0.3638
```



Pm8Tl5Pb | PBE-GGA | relaxed

Computed properties:
**Energy of formation**: -4.6 eV per formula unit

```
Pm8Tl5Pb
1.0
-6.7635 -0.0987 -4.8039
5.7374 -5.0755 -3.1865
-2.0113 -2.5382 7.6383
Pm Tl Pb
8 5 1
Direct
0.1200 0.7465 0.0180
0.9820 0.1020 0.7286
0.7735 0.2544 0.3790
0.6210 0.3945 0.8754
0.4809 0.6055 0.2265
0.6265 0.8980 0.8800
0.2714 0.2535 0.3735
0.1246 0.7456 0.5191
0.9977 0.3730 0.1215
0.8785 0.8762 0.2515
0.7485 0.6270 0.6247
0.5000 0.0000 0.5000
0.3753 0.1238 0.0023
0.2500 0.5000 0.7500
```



Number 1: N(E_F) 6.12 states/eV/cell, magnetization 0.0 μB/cell. Number 2: N(E_F) 1.83 states/eV/cell, magnetization 0.0 μB/cell. Number 3: N(E_F) 2.42 states/eV/cell, magnetization 5.1 μB/cell. Number 4: N(E_F) 2.86 states/eV/cell, magnetization 3.2 μB/cell. Number 5: N(E_F) 4.39 states/eV/cell, magnetization 0.0 μB/cell. Number 6: N(E_F) 4.30 states/eV/cell, magnetization 0.0 μB/cell. Number 7: N(E_F) 6.32 states/eV/cell, magnetization 0.7 μB/cell. Number 8: N(E_F) 2.01 states/eV/cell, magnetization 0.0 μB/cell. Number 9: N(E_F) 10.23 states/eV/cell, magnetization 0.0 μB/cell. Number 10: N(E_F) 21.34 states/eV/cell, magnetization 0.0 μB/cell. Number 11: N(E_F) 1.77 states/eV/cell, magnetization 0.8 μB/cell. Number 12: N(E_F) 7.80 states/eV/cell, magnetization 0.0 μB/cell. Number 13: N(E_F) 9.63 states/eV/cell, magnetization 0.0 μB/cell. Number 14: N(E_F) 4.59 states/eV/cell, magnetization 0.0 μB/cell. Number 15: N(E_F) 4.96 states/eV/cell, magnetization 0.0 μB/cell. Number 16: N(E_F) 7.92 states/eV/cell, magnetization 0.0 μB/cell. Number 17: N(E_F) 11.93 states/eV/cell, magnetization 0.0 μB/cell. Number 18: N(E_F) 15.65 states/eV/cell, magnetization 0.0 μB/cell.